1.
## Pm5Nd2Dy6 (GGA-PBE)

Data for an optimized crystal structure of Pm5Nd2Dy6.

```
Pm5Nd2Dy6
1.0
-1.936 0.292 -3.035
-7.313 -8.375 3.859
-11.759 14.362 8.887
Pm Nd Dy
10 4 12
Direct
0.500 0.300 0.448
0.500 0.700 0.552
0.500 0.800 0.052
0.500 0.200 0.948
0.500 0.587 0.278
0.500 0.413 0.722
0.500 0.087 0.222
0.500 0.913 0.778
0.500 0.500 0.000
0.500 0.000 0.500
0.000 0.328 0.283
0.000 0.672 0.717
0.000 0.828 0.217
0.000 0.172 0.783
0.000 0.077 0.365
0.000 0.923 0.635
0.000 0.577 0.135
0.000 0.423 0.865
0.500 0.320 0.130
0.500 0.680 0.870
0.500 0.820 0.370
0.500 0.180 0.630
0.000 0.561 0.423
0.000 0.439 0.577
0.000 0.061 0.077
0.000 0.939 0.923
```

Properties
Space-group type: No. 55
ΔE_f, eV per atom: 0.094
V, Å³ per atom: 33.64
VASP energy, eV/atom: -4.591


2.
## InNi6As (GGA-PBE)

Data for an optimized crystal structure of InNi6As.

```
InNi6As
1.0
-1.363 -0.566 -3.358
3.285 -1.172 -1.135
-1.789 -6.834 1.879
In Ni As
1 6 1
Direct
0.000 0.000 0.000
0.500 0.500 0.000
0.500 0.500 0.500
0.500 0.000 0.266
0.500 0.000 0.734
0.000 0.500 0.266
0.000 0.500 0.734
0.000 0.000 0.500
```

Properties
Space-group type: No. 123
ΔE_f, eV per atom: -0.131
V, Å³ per atom: 12.29
VASP energy, eV/atom: -5.391